CsScBr3 | PBE | relaxed

The structure in POSCAR format:
```
CsScBr3
1.0
-12.457 2.599 -18.855
-2.765 -2.692 -8.183
0.946 -2.316 8.695
Cs Br Sc
2 6 2
direct
0.903 0.002 0.998
0.097 0.998 0.002
0.781 0.523 0.477
0.493 0.352 0.648
0.202 0.219 0.781
0.507 0.648 0.352
0.219 0.477 0.523
0.798 0.781 0.219
0.506 0.183 0.817
0.494 0.817 0.183
```

As for the crystal system: monoclinic. The density is 3.456 g/cm3. Its energy above the most stable polymorph in this dataset is 0.1078 eV per atom. The calculation puts the energy relative to the elements, uncorrected at -151 kJ per mole of atoms.

=====

CsSc3Br | PBE | relaxed

The structure in POSCAR format:
```
CsSc3Br
1.0
5.425 0.000 0.000
0.000 5.425 0.000
0.000 0.000 5.425
Cs Br Sc
1 1 3
direct
0.000 0.000 0.000
0.500 0.500 0.500
0.000 0.500 0.000
0.500 0.000 0.000
0.000 0.000 0.500
```

As for the crystal system: cubic. The density is 3.616 g/cm3. Its energy above the most stable polymorph in this dataset is 0.9704 eV per atom. The calculation puts the energy relative to the elements, uncorrected at 138 kJ per mole of atoms.

=====

Cs2ScSeBr6 | PBE | relaxed

The structure in POSCAR format:
```
Cs2ScSeBr6
1.0
-0.340 -0.477 8.617
-5.406 -6.711 -0.585
1.261 -6.922 3.995
Br Cs Se Sc
6 2 1 1
direct
0.715 0.715 0.000
0.715 0.285 0.000
0.285 0.715 0.000
0.285 0.285 0.000
0.760 0.760 0.479
0.240 0.240 0.521
0.250 0.750 0.500
0.750 0.250 0.500
0.000 0.000 0.000
0.500 0.500 0.000
```

As for the crystal system: tetragonal. The density is 3.645 g/cm3. The calculation puts the energy relative to the elements, uncorrected at -124 kJ per mole of atoms.

=====

CsScSeBr2 | PBE | relaxed

The structure in POSCAR format:
```
CsScSeBr2
1.0
-1.660 -5.159 1.275
0.017 -1.341 -5.403
4.947 -1.496 0.387
Se Cs Br Sc
1 1 2 1
direct
0.000 0.000 0.500
0.500 0.500 0.500
0.000 0.500 0.000
0.500 0.000 0.000
0.000 0.000 0.000
```

As for the crystal system: tetragonal. The density is 4.307 g/cm3. The calculation puts the energy relative to the elements, uncorrected at -156 kJ per mole of atoms.

=====

Cs2ScSnBr6 | PBE | relaxed

The structure in POSCAR format:
```
Cs2ScSnBr6
1.0
-2.012 7.690 0.724
-4.228 -1.722 6.548
8.181 -1.988 -0.105
Cs Br Sc Sn
2 6 1 1
direct
0.250 0.751 0.500
0.750 0.251 0.500
0.761 0.762 0.998
0.787 0.787 0.572
0.238 0.239 0.001
0.762 0.238 0.000
0.237 0.762 0.999
0.213 0.214 0.427
0.000 0.000 0.000
0.500 0.500 0.000
```

As for the crystal system: monoclinic. The density is 3.790 g/cm3. The calculation puts the energy relative to the elements, uncorrected at -136 kJ per mole of atoms.

=====

CsSrScBr6 | PBE | relaxed

The structure in POSCAR format:
```
CsSrScBr6
1.0
-1.942 7.348 0.133
-2.755 -4.562 -5.421
-12.198 -3.388 9.051
Br Sr Cs Sc
12 2 2 2
direct
0.606 0.962 0.852
0.962 0.356 0.148
0.394 0.356 0.352
0.038 0.644 0.852
0.356 0.962 0.648
0.644 0.038 0.352
0.356 0.394 0.852
0.038 0.394 0.648
0.644 0.606 0.148
0.394 0.038 0.148
0.606 0.644 0.648
0.962 0.606 0.352
0.333 0.667 0.250
0.667 0.333 0.750
0.000 0.000 0.500
0.000 0.000 0.000
0.333 0.667 0.750
0.667 0.333 0.250
```

As for the crystal system: trigonal. The density is 3.177 g/cm3. The calculation puts the energy relative to the elements, uncorrected at -182 kJ per mole of atoms.

=====

Cs2SrScBr6 | PBE | relaxed

The structure in POSCAR format:
```
Cs2SrScBr6
1.0
-3.944 -6.312 3.312
5.653 -5.078 -2.945
6.146 1.233 9.670
Br Sc Sr Cs
12 2 2 4
direct
0.261 0.010 0.500
0.239 0.990 0.000
0.261 0.488 0.500
0.000 0.750 0.239
0.739 0.010 0.500
0.739 0.488 0.500
0.000 0.750 0.761
0.239 0.512 0.000
0.500 0.250 0.261
0.500 0.250 0.739
0.761 0.512 0.000
0.761 0.990 0.000
0.500 0.249 0.500
0.000 0.751 0.000
0.500 0.251 0.000
0.000 0.749 0.500
0.000 0.250 0.750
0.500 0.750 0.750
0.500 0.750 0.250
0.000 0.250 0.250
```

As for the crystal system: orthorhombic. The density is 3.811 g/cm3. The calculation puts the energy relative to the elements, uncorrected at -172 kJ per mole of atoms.

=====

CsSr2ScBr8 | PBE | relaxed

The structure in POSCAR format:
```
CsSr2ScBr8
1.0
7.073 0.020 -0.001
0.066 6.888 -0.001
0.012 0.019 9.627
Br Cs Sr Sc
8 1 2 1
direct
0.156 0.774 0.193
0.844 0.226 0.807
0.594 0.739 0.500
0.157 0.775 0.808
0.406 0.261 0.500
0.312 0.244 0.000
0.843 0.225 0.192
0.688 0.756 0.000
0.000 0.000 0.500
0.500 0.500 0.245
0.500 0.500 0.755
0.000 0.000 0.000
```

As for the crystal system: triclinic. The density is 3.513 g/cm3. The calculation puts the energy relative to the elements, uncorrected at -181 kJ per mole of atoms.

=====

Cs2ScTcBr6 | PBE | relaxed

The structure in POSCAR format:
```
Cs2ScTcBr6
1.0
-2.607 -2.119 6.772
6.526 -3.546 1.403
3.928 1.644 6.246
Br Cs Tc Sc
6 2 1 1
direct
0.753 0.753 0.000
0.753 0.753 0.494
0.247 0.753 0.000
0.753 0.247 0.000
0.247 0.247 0.506
0.247 0.247 0.000
0.250 0.750 0.500
0.750 0.250 0.500
0.000 0.000 0.000
0.500 0.500 0.000
```

As for the crystal system: cubic. The density is 4.829 g/cm3. The calculation puts the energy relative to the elements, uncorrected at -108 kJ per mole of atoms.

=====

CsScTe2Br | PBE | relaxed

The structure in POSCAR format:
```
CsScTe2Br
1.0
-0.788 3.555 4.294
-3.900 -3.450 2.141
4.080 -2.739 3.016
Te Sc Cs Br
2 1 1 1
direct
0.500 0.000 0.000
0.000 0.500 0.000
0.000 0.000 0.000
0.500 0.500 0.500
0.000 0.000 0.500
```

As for the crystal system: tetragonal. The density is 4.661 g/cm3. The calculation puts the energy relative to the elements, uncorrected at -110 kJ per mole of atoms.

=====

Cs2ScTiBr6 | PBE | relaxed

The structure in POSCAR format:
```
Cs2ScTiBr6
1.0
-2.502 7.239 1.027
-6.436 -2.696 3.322
-2.015 2.427 7.055
Ti Br Cs Sc
1 6 2 1
direct
0.000 0.000 0.000
0.750 0.750 0.501
0.251 0.749 0.000
0.250 0.250 0.499
0.251 0.251 0.000
0.749 0.749 0.000
0.749 0.251 0.000
0.750 0.250 0.500
0.250 0.750 0.500
0.500 0.500 0.000
```

As for the crystal system: cubic. The density is 4.264 g/cm3. The calculation puts the energy relative to the elements, uncorrected at -141 kJ per mole of atoms.

=====

Cs2ScTlBr6 | PBE | relaxed

The structure in POSCAR format:
```
Cs2ScTlBr6
1.0
-5.689 -2.762 5.188
4.939 -6.533 1.938
4.856 6.235 8.645
Cs Br Tl Sc
4 12 2 2
direct
0.000 0.233 0.742
0.500 0.767 0.242
0.000 0.233 0.258
0.500 0.767 0.758
0.000 0.769 0.228
0.270 0.008 0.500
0.500 0.231 0.272
0.000 0.769 0.772
0.268 0.456 0.500
0.230 0.992 0.000
0.730 0.008 0.500
0.500 0.231 0.728
0.232 0.544 0.000
0.770 0.992 0.000
0.732 0.456 0.500
0.768 0.544 0.000
0.500 0.268 0.000
0.000 0.732 0.500
0.000 0.765 0.000
0.500 0.235 0.500
```

As for the crystal system: orthorhombic. The density is 4.096 g/cm3. The calculation puts the energy relative to the elements, uncorrected at -155 kJ per mole of atoms.

=====

Cs2ScTlBr6 | PBE | relaxed

The structure in POSCAR format:
```
Cs2ScTlBr6
1.0
-1.084 -0.730 -8.186
6.575 -0.465 -5.026
1.815 -7.140 -3.800
Br Tl Sc Cs
6 1 1 2
direct
0.773 0.773 0.227
0.227 0.227 0.773
0.227 0.773 0.773
0.773 0.227 0.773
0.773 0.227 0.227
0.227 0.773 0.227
0.500 0.500 0.500
0.000 0.000 0.000
0.750 0.750 0.750
0.250 0.250 0.250
```

As for the crystal system: cubic. The density is 4.101 g/cm3. The calculation puts the energy relative to the elements, uncorrected at -155 kJ per mole of atoms.

=====

CsSc2VBr8 | PBE | relaxed

The structure in POSCAR format:
```
CsSc2VBr8
1.0
6.991 0.000 0.000
3.495 6.054 0.000
3.496 2.018 10.167
Br Sc V Cs
8 2 1 1
direct
0.269 0.933 0.155
0.643 0.269 0.155
0.933 0.643 0.155
0.179 0.179 0.463
0.731 0.067 0.845
0.821 0.821 0.537
0.357 0.731 0.845
0.067 0.357 0.845
0.262 0.262 0.215
0.738 0.738 0.785
0.000 0.000 0.000
0.500 0.500 0.500
```

As for the crystal system: trigonal. The density is 3.523 g/cm3. The calculation puts the energy relative to the elements, uncorrected at -131 kJ per mole of atoms.

=====

Cs2ScZnBr6 | PBE | relaxed

The structure in POSCAR format:
```
Cs2ScZnBr6
1.0
-2.089 -1.071 7.538
2.112 -7.591 -0.493
5.157 -3.004 5.137
Br Zn Cs Sc
6 1 2 1
direct
0.257 0.257 0.485
0.741 0.741 0.000
0.259 0.741 0.000
0.741 0.259 0.000
0.259 0.259 0.000
0.743 0.743 0.515
0.000 0.000 0.000
0.250 0.750 0.500
0.750 0.250 0.500
0.500 0.500 0.000
```

As for the crystal system: tetragonal. The density is 4.105 g/cm3. The calculation puts the energy relative to the elements, uncorrected at -140 kJ per mole of atoms.

=====

CsScZnBr6 | PBE | relaxed

The structure in POSCAR format:
```
CsScZnBr6
1.0
6.939 0.001 0.000
3.470 6.009 0.000
0.001 -0.001 8.211
Br Sc Cs Zn
6 1 1 1
direct
0.002 0.624 0.687
0.002 0.375 0.313
0.375 0.002 0.687
0.375 0.624 0.313
0.624 0.375 0.687
0.624 0.002 0.313
0.667 0.667 0.500
0.000 0.000 0.000
0.333 0.333 0.500
```

As for the crystal system: trigonal. The density is 3.505 g/cm3. The calculation puts the energy relative to the elements, uncorrected at -139 kJ per mole of atoms.

=====

Cs2SeBr2 | PBE | relaxed

The structure in POSCAR format:
```
Cs2SeBr2
1.0
8.752 0.000 0.000
0.000 8.752 0.000
0.000 0.000 5.182
Se Cs Br
2 4 4
direct
0.500 0.500 0.000
0.000 0.000 0.000
0.156 0.656 0.500
0.344 0.156 0.500
0.656 0.844 0.500
0.844 0.344 0.500
0.835 0.665 0.000
0.165 0.335 0.000
0.335 0.835 0.000
0.665 0.165 0.000
```

As for the crystal system: tetragonal. The density is 4.222 g/cm3. The calculation puts the energy relative to the elements, uncorrected at -95 kJ per mole of atoms.

=====

CsSeBr | PBE | relaxed

The structure in POSCAR format:
```
CsSeBr
1.0
5.215 0.000 0.000
2.608 6.785 -1.050
2.608 0.920 6.785
Br Cs Se
2 2 2
direct
0.197 0.304 0.302
0.803 0.696 0.698
0.499 0.731 0.272
0.501 0.269 0.728
0.882 0.118 0.117
0.118 0.882 0.883
```

As for the crystal system: monoclinic. The density is 3.953 g/cm3. The calculation puts the energy relative to the elements, uncorrected at -92 kJ per mole of atoms.

=====

Cs4SeBr2 | PBE | relaxed

The structure in POSCAR format:
```
Cs4SeBr2
1.0
-0.954 -5.177 -4.321
2.070 -4.378 4.788
-8.411 -5.675 3.289
Cs Br Se
4 2 1
direct
0.178 0.178 0.644
0.500 0.000 0.000
0.000 0.500 0.000
0.822 0.822 0.356
0.364 0.364 0.272
0.636 0.636 0.728
0.000 0.000 0.000
```

As for the crystal system: tetragonal. The density is 2.898 g/cm3. Its energy above the most stable polymorph in this dataset is 0.0940 eV per atom. The calculation puts the energy relative to the elements, uncorrected at -128 kJ per mole of atoms.

=====

CsSe2Br2 | PBE | relaxed

The structure in POSCAR format:
```
CsSe2Br2
1.0
6.434 0.000 0.000
-3.217 5.727 -0.776
0.000 -4.164 11.301
Se Br Cs
4 4 2
direct
0.419 0.337 0.525
0.082 0.663 0.975
0.581 0.663 0.475
0.918 0.337 0.025
0.655 0.809 0.887
0.345 0.191 0.113
0.846 0.191 0.613
0.154 0.809 0.387
0.749 0.000 0.250
0.251 0.000 0.750
```

As for the crystal system: monoclinic. The density is 3.783 g/cm3. Its energy above the most stable polymorph in this dataset is 0.0000 eV per atom. The calculation puts the energy relative to the elements, uncorrected at -55 kJ per mole of atoms.

=====

CsSe2Br8 | PBE | relaxed

The structure in POSCAR format:
```
CsSe2Br8
1.0
-4.208 -0.121 3.541
2.686 -9.315 2.871
3.803 8.062 4.787
Br Cs Se
8 1 2
direct
0.702 0.382 0.193
0.702 0.811 0.618
0.298 0.618 0.807
0.795 0.333 0.667
0.298 0.189 0.382
0.702 0.807 0.189
0.298 0.193 0.811
0.205 0.667 0.333
0.000 0.000 0.000
0.287 0.333 0.667
0.713 0.667 0.333
```

As for the crystal system: triclinic. The density is 3.169 g/cm3. The calculation puts the energy relative to the elements, uncorrected at -31 kJ per mole of atoms.

=====

Cs4SeBr2 | PBE | relaxed

The structure in POSCAR format:
```
Cs4SeBr2
1.0
-0.569 -0.814 -5.209
2.209 -8.854 1.141
-8.922 3.650 3.105
Cs Se Br
4 1 2
direct
0.121 0.832 0.242
0.879 0.168 0.758
0.367 0.742 0.734
0.633 0.258 0.266
0.000 0.000 0.000
0.708 0.721 0.415
0.292 0.279 0.585
```

As for the crystal system: monoclinic. The density is 3.187 g/cm3. Its energy above the most stable polymorph in this dataset is 0.0000 eV per atom. The calculation puts the energy relative to the elements, uncorrected at -137 kJ per mole of atoms.